Version P
Ca2CdI2 | SCAN | single point on PBEsol structure

Values from the calculation:
* space group: No. 139
* calculated volume: 37.76 A^3/atom

a = 5.438 Å, b = 5.438 Å, c = 7.453 Å
α = 111.40°, β = 111.40°, γ = 90.00°
Fractional positions:
Ca  0.750  0.250  0.500
Ca  0.250  0.750  0.500
I  0.640  0.640  0.280
I  0.360  0.360  0.720
Cd  0.000  0.000  0.000



Version Q
Ca2CdI2 | SCAN | single point on PBEsol structure

Values from the calculation:
* space group: No. 127
* calculated volume: 32.59 A^3/atom

a = 4.697 Å, b = 8.330 Å, c = 8.330 Å
α = 90.00°, β = 90.00°, γ = 90.00°
Fractional positions:
Cd  0.000  0.000  0.000
Cd  0.000  0.500  0.500
I  0.500  0.154  0.654
I  0.500  0.654  0.846
I  0.500  0.346  0.154
I  0.500  0.846  0.346
Ca  0.000  0.661  0.161
Ca  0.000  0.339  0.839
Ca  0.000  0.839  0.661
Ca  0.000  0.161  0.339



Computed energies relative to the best structure, in eV/atom: version P 0.157; version Q 0.000



Version P
Ca2CdIn | SCAN | single point on PBEsol structure

Values from the calculation:
* space group: No. 25
* calculated volume: 26.84 A^3/atom

a = 3.708 Å, b = 5.369 Å, c = 5.394 Å
α = 90.00°, β = 90.00°, γ = 90.00°
Fractional positions:
Cd  0.500  0.000  0.603
Ca  0.000  0.000  0.114
Ca  0.000  0.500  0.638
In  0.500  0.500  0.145



Version Q
Ca2CdIn | SCAN | single point on PBEsol structure

Values from the calculation:
* space group: No. 119
* calculated volume: 27.24 A^3/atom

a = 4.684 Å, b = 4.684 Å, c = 5.969 Å
α = 113.10°, β = 113.10°, γ = 90.00°
Fractional positions:
Ca  0.750  0.250  0.500
Ca  0.000  0.000  0.000
In  0.250  0.750  0.500
Cd  0.500  0.500  0.000



Version R
Ca2CdIn | SCAN | single point on PBEsol structure

Values from the calculation:
* space group: No. 8
* calculated volume: 27.61 A^3/atom

a = 3.610 Å, b = 5.484 Å, c = 6.198 Å
α = 108.91°, β = 106.93°, γ = 90.00°
Fractional positions:
Cd  0.522  0.479  0.044
Ca  0.979  0.954  0.958
Ca  0.774  0.299  0.547
In  0.225  0.768  0.451



Version S
Ca2CdIn | SCAN | single point on PBEsol structure

Values from the calculation:
* space group: No. 123
* calculated volume: 26.84 A^3/atom

a = 3.662 Å, b = 3.662 Å, c = 8.005 Å
α = 90.00°, β = 90.00°, γ = 90.00°
Fractional positions:
Ca  0.000  0.000  0.245
Ca  0.000  0.000  0.755
In  0.500  0.500  0.500
Cd  0.500  0.500  0.000



Computed energies relative to the best structure, in eV/atom: version P 0.000; version Q 0.206; version R 0.121; version S 0.015